[1]
# PuPd4Pb, optimized geometry, DFT PBE-GGA
data_PuPd4Pb
_chemical_formula_sum 'Pu4 Pd16 Pb4'
_space_group_name_H-M_alt 'C 1 2/m 1'
_space_group_IT_number 12
_space_group_name_Hall '-C 2y'
_cell_length_a 18.278
_cell_length_b 4.797
_cell_length_c 5.429
_cell_angle_alpha 90.00
_cell_angle_beta 107.20
_cell_angle_gamma 90.00
loop_
_atom_site_label
_atom_site_fract_x
_atom_site_fract_y
_atom_site_fract_z
Pu1 0.250 0.000 0.186
Pd1 0.090 0.000 0.015
Pd2 0.090 0.500 0.664
Pd3 0.164 0.000 0.568
Pd4 0.164 0.500 0.260
Pb1 0.000 0.000 0.500
Pb2 0.000 0.500 0.000
# - Crystal system: monoclinic
# - Formation energy: -32.39 kJ/mol of atoms
# - Distance to the lowest polymorph of the same formula: 6.2 kJ per mole of atoms

***

[2]
# Na2PaPd2O6, optimized geometry, DFT PBE-GGA
data_Na2PaPd2O6
_chemical_formula_sum 'Na2 Pa1 Pd2 O6'
_space_group_name_H-M_alt 'P -3 1 m'
_space_group_IT_number 162
_space_group_name_Hall '-P 3 2'
_cell_length_a 5.5911
_cell_length_b 5.5911
_cell_length_c 5.7527
_cell_angle_alpha 90.00
_cell_angle_beta 90.00
_cell_angle_gamma 120.00
loop_
_atom_site_label
_atom_site_fract_x
_atom_site_fract_y
_atom_site_fract_z
Na1 0.3333 0.6667 0.0000
Pa1 0.0000 0.0000 0.5000
Pd1 0.3333 0.6667 0.5000
O1 0.0000 0.3353 0.2925
# - Uncorrected formation energy: -1.63 eV per atom
# - Crystal system: trigonal

***

[3]
# K3BeF, optimized geometry, DFT PBE-GGA
data_K3BeF
_chemical_formula_sum 'K3 Be1 F1'
_space_group_name_H-M_alt 'P m -3 m'
_space_group_IT_number 221
_space_group_name_Hall '-P 4 2 3'
_cell_length_a 5.404
_cell_length_b 5.404
_cell_length_c 5.404
_cell_angle_alpha 90.00
_cell_angle_beta 90.00
_cell_angle_gamma 90.00
loop_
_atom_site_label
_atom_site_fract_x
_atom_site_fract_y
_atom_site_fract_z
K1 0.000 0.000 0.500
Be1 0.500 0.500 0.500
F1 0.000 0.000 0.000
# - Uncorrected formation energy: -0.58 eV per atom
# - Crystal system: cubic
# - Distance to the lowest polymorph of the same formula: 0.0 kJ per mole of atoms

***

| no. | V (Å³/f.u.) |
| --- | --- |
| 1 | 113.69 |
| 2 | 155.74 |
| 3 | 157.86 |